The following is a PBE calculation of an optimized crystal structure of LiNdY2, from the Alexandria database.

Calculated values
As for the symmetry: R-3m, No. 166. The formation energy comes out at 0.29 eV/atom.

Structure (extended XYZ):
```
4
Lattice="1.7157 0.9906 12.1010 -1.7157 0.9906 12.1010 0.0000 -1.9812 12.1010" Properties=species:S:1:pos:R:3 pbc="T T T"
Li 0.0000 0.0000 0.0000
Nd 0.0000 0.0000 18.1515
Y 0.0000 0.0000 14.7667
Y 0.0000 0.0000 21.5363
```



The following is a PBE calculation of an optimized crystal structure of Cr3SiPt, from the Alexandria database.

Calculated values
As for the symmetry: Pm-3m, No. 221. The raw formation energy is 1286.2 meV per atom.

Structure (extended XYZ):
```
5
Lattice="4.8167 0.0000 0.0000 0.0000 4.8167 0.0000 0.0000 0.0000 4.8167" Properties=species:S:1:pos:R:3 pbc="T T T"
Cr 0.0000 0.0000 2.4083
Cr 0.0000 2.4083 0.0000
Cr 2.4083 0.0000 0.0000
Si 2.4083 2.4083 2.4083
Pt 0.0000 0.0000 0.0000
```



The following is a PBE calculation of an optimized crystal structure of Ca6Sn2H, from the Alexandria database.

Calculated values
As for the symmetry: P2_1/c, No. 14.

Structure (extended XYZ):
```
18
Lattice="7.0857 0.0000 0.0000 0.0000 7.0478 0.0000 -7.0795 0.0000 9.9760" Properties=species:S:1:pos:R:3 pbc="T T T"
Ca -0.2156 0.0005 2.4804
Ca -3.7554 3.5234 7.4684
Ca -1.8325 1.7135 5.1427
Ca 1.7073 1.8104 0.1547
Ca -1.7203 5.2229 5.1428
Ca 1.8194 5.3488 0.1548
Ca -1.8133 1.6990 9.8212
Ca 1.7265 1.8249 4.8332
Ca -1.7012 5.2374 9.8213
Ca 1.8386 5.3343 4.8333
Ca 0.2217 7.0473 7.4956
Ca 3.7615 3.5244 2.5076
Sn 0.0026 3.5491 2.4945
Sn -3.5371 7.0226 7.4825
Sn 3.5433 0.0252 2.4934
Sn 0.0035 3.4987 7.4814
H 0.0031 0.0000 4.9880
H 3.5428 3.5239 0.0000
```



The following is a PBE calculation of an optimized crystal structure of ZnCuRe2, from the Alexandria database.

Calculated values
As for the symmetry: Pmmm, No. 47. The formation energy comes out at 0.31 eV/atom.

Structure (extended XYZ):
```
4
Lattice="3.1019 0.0000 0.0000 0.0000 4.1912 0.0000 0.0000 0.0000 4.3895" Properties=species:S:1:pos:R:3 pbc="T T T"
Zn 0.0000 0.0000 0.0000
Cu 1.5509 2.0956 0.0000
Re 0.0000 2.0956 2.1947
Re 1.5509 0.0000 2.1947
```



The following is a PBE calculation of an optimized crystal structure of TcHg, from the Alexandria database.

Calculated values
As for the symmetry: Cmme, No. 67. The formation energy comes out at 0.49 eV/atom.

Structure (extended XYZ):
```
4
Lattice="1.4868 -2.4597 0.0000 1.4868 2.4597 0.0000 0.0000 0.0000 10.1262" Properties=species:S:1:pos:R:3 pbc="T T T"
Tc 1.4868 1.2298 9.1122
Tc 1.4868 -1.2298 1.0140
Hg 1.4868 1.2298 3.5976
Hg 1.4868 -1.2298 6.5286
```



The following is a PBE calculation of an optimized crystal structure of Pr2CdPb, from the Alexandria database.

Calculated values
As for the symmetry: R-3m, No. 166. The formation energy comes out at -0.03 eV/atom.

Structure (extended XYZ):
```
4
Lattice="1.8053 1.0423 11.7921 -1.8053 1.0423 11.7921 0.0000 -2.0846 11.7921" Properties=species:S:1:pos:R:3 pbc="T T T"
Pr 0.0000 0.0000 3.2925
Pr 0.0000 0.0000 32.0839
Cd 0.0000 0.0000 17.6882
Pb 0.0000 0.0000 0.0000
```



The following is a PBE calculation of an optimized crystal structure of Rb3Mg2Hg9, from the Alexandria database.

Calculated values
As for the symmetry: Immm, No. 71. The formation energy comes out at -0.19 eV/atom.

Structure (extended XYZ):
```
14
Lattice="-2.5044 5.9104 7.4216 2.5044 -5.9104 7.4216 2.5044 5.9104 -7.4216" Properties=species:S:1:pos:R:3 pbc="T T T"
Rb 0.0000 0.0000 0.0000
Rb 0.0000 0.0000 4.4336
Rb 0.0000 0.0000 10.4096
Mg 2.5044 3.5140 0.0000
Mg 0.0000 2.3964 7.4216
Hg 2.5044 -1.6803 2.3954
Hg 2.5044 -2.5269 5.5236
Hg 2.5044 1.6803 2.3954
Hg 0.0000 3.3835 1.8980
Hg 0.0000 5.9104 0.0000
Hg 2.5044 2.5269 5.5236
Hg 0.0000 4.2301 5.0262
Hg 0.0000 8.4373 1.8980
Hg 0.0000 7.5908 5.0262
```



The following is a PBE calculation of an optimized crystal structure of Sb2AsPd4, from the Alexandria database.

Calculated values
As for the symmetry: I4/mmm, No. 139. The raw formation energy is 20.6 meV per atom.

Structure (extended XYZ):
```
7
Lattice="-2.3574 2.3574 6.8551 2.3574 -2.3574 6.8551 2.3574 2.3574 -6.8551" Properties=species:S:1:pos:R:3 pbc="T T T"
Sb 0.0000 0.0000 1.8446
Sb 0.0000 0.0000 11.8656
As 0.0000 0.0000 6.8551
Pd 2.3574 0.0000 0.0000
Pd 0.0000 0.0000 4.4598
Pd 0.0000 2.3574 0.0000
Pd 0.0000 0.0000 9.2505
```



The following is a PBE calculation of an optimized crystal structure of TlSnPd, from the Alexandria database.

Calculated values
As for the symmetry: R-3m, No. 166. The formation energy comes out at -0.21 eV/atom.

Structure (extended XYZ):
```
6
Lattice="2.2755 1.3138 8.3980 -2.2755 1.3138 8.3980 0.0000 -2.6275 8.3980" Properties=species:S:1:pos:R:3 pbc="T T T"
Tl 0.0000 0.0000 3.1637
Tl 0.0000 0.0000 22.0303
Sn 0.0000 0.0000 7.4321
Sn 0.0000 0.0000 17.7619
Pd 0.0000 0.0000 10.1547
Pd 0.0000 0.0000 15.0393
```



The following is a PBE calculation of an optimized crystal structure of CsZn3Ga, from the Alexandria database.

Calculated values
As for the symmetry: Pm-3m, No. 221. The formation energy comes out at 0.19 eV/atom.

Structure (extended XYZ):
```
5
Lattice="5.2174 0.0000 0.0000 0.0000 5.2174 0.0000 0.0000 0.0000 5.2174" Properties=species:S:1:pos:R:3 pbc="T T T"
Cs 0.0000 0.0000 0.0000
Zn 0.0000 2.6087 2.6087
Zn 2.6087 0.0000 2.6087
Zn 2.6087 2.6087 0.0000
Ga 2.6087 2.6087 2.6087
```



The following is a PBE calculation of an optimized crystal structure of V4FeW, from the Alexandria database.

Calculated values
As for the symmetry: C2/m, No. 12. The formation energy comes out at 0.30 eV/atom.

Structure (extended XYZ):
```
6
Lattice="4.5211 -1.2516 0.0000 4.5211 1.2516 0.0000 -4.2802 0.0000 7.4313" Properties=species:S:1:pos:R:3 pbc="T T T"
V -0.0647 0.0000 2.6033
V 2.3210 0.0000 1.2774
V 2.4410 0.0000 6.1539
V 4.8267 0.0000 4.8280
Fe 2.3810 0.0000 3.7157
W 0.0000 0.0000 0.0000
```



The following is a PBE calculation of an optimized crystal structure of Pm2SbIr, from the Alexandria database.

Calculated values
As for the symmetry: Fm-3m, No. 225. The raw formation energy is -606.7 meV per atom.

Structure (extended XYZ):
```
4
Lattice="0.0000 3.7018 3.7018 3.7018 0.0000 3.7018 3.7018 3.7018 0.0000" Properties=species:S:1:pos:R:3 pbc="T T T"
Pm 1.8509 1.8509 1.8509
Pm 5.5527 5.5527 5.5527
Sb 0.0000 0.0000 0.0000
Ir 3.7018 3.7018 3.7018
```



Number 1: E -4.615 eV per atom. Number 2: E -6.781 eV per atom. Number 3: E -3.081 eV per atom. Number 4: E -7.252 eV per atom. Number 5: E -4.839 eV per atom. Number 6: E -3.574 eV per atom. Number 7: E -0.819 eV per atom. Number 8: E -4.789 eV per atom. Number 9: E -4.064 eV per atom. Number 10: E -1.352 eV per atom. Number 11: E -9.349 eV per atom. Number 12: E -6.228 eV per atom.